The following is a PBE-GGA calculation of crystalline La2Ni9Rh at its relaxed geometry, from Alexandria.

abc: 4.9493 4.9493 24.5292
angles: 90.00 90.00 120.00
Last column: nearest neighbours and their distance in Å.
Space group R-3m (No. 166, hexagonal axes)
One atom of each set of equivalent atoms:
La 0.0000 0.0000 0.1311  9 Ni 2.79-2.99
Ni 0.0000 0.0000 0.3327  6 Ni 2.39-2.41
Ni 0.0000 0.0000 0.5000  6 Ni 2.59
Ni 0.0010 0.5005 0.0787  7 Ni 2.39-2.59
Rh 0.0000 0.0000 0.0000  18 Ni 2.86-3.14

## Properties
- raw total energy (eV/atom) = -5.840
- formation enthalpy at 0 K (meV per atom) = -70

The following is a PBE-GGA calculation of crystalline CdRhC3 at its relaxed geometry, from Alexandria.

abc: 4.0567 4.0567 4.0567
angles: 90.00 90.00 90.00
Last column: nearest neighbours and their distance in Å.
Space group Pm-3m (No. 221)
One atom of each set of equivalent atoms:
Cd 0.0000 0.0000 0.0000  12 C 2.87
Rh 0.5000 0.5000 0.5000  6 C 2.03
C 0.0000 0.5000 0.5000  2 Rh 2.03

## Properties
- raw total energy (eV/atom) = -4.945
- formation enthalpy at 0 K (meV per atom) = 2243

The following is a PBE-GGA calculation of crystalline Ba2LaSi at its relaxed geometry, from Alexandria.

abc: 8.1680 8.1680 8.1680
angles: 90.00 90.00 90.00
Last column: nearest neighbours and their distance in Å.
Space group F-43m (No. 216)
One atom of each set of equivalent atoms:
Ba 0.0000 0.0000 0.0000  4 Ba 3.54, 4 La 3.54
Ba 0.2500 0.2500 0.2500  4 Ba 3.54, 4 Si 3.54
La 0.2500 0.2500 0.7500  4 Ba 3.54, 4 Si 3.54
Si 0.0000 0.0000 0.5000  4 Ba 3.54, 4 La 3.54

## Properties
- raw total energy (eV/atom) = -3.386

The following is a PBE-GGA calculation of crystalline CaPaGaGe at its relaxed geometry, from Alexandria.

abc: 7.1601 7.1601 7.1601
angles: 90.00 90.00 90.00
Last column: nearest neighbours and their distance in Å.
Space group F-43m (No. 216)
One atom of each set of equivalent atoms:
Ca 0.0000 0.0000 0.0000  4 Ge 3.10, 4 Ga 3.10
Pa 0.0000 0.0000 0.5000  4 Ga 3.10, 4 Ge 3.10
Ga 0.2500 0.2500 0.2500  4 Pa 3.10, 4 Ca 3.10
Ge 0.2500 0.2500 0.7500  4 Pa 3.10, 4 Ca 3.10

## Properties
- raw total energy (eV/atom) = -5.044
- formation enthalpy at 0 K (meV per atom) = -259

Number 1: size of the total moment 4.0 μB/f.u., N(E_F) 47.9 states/eV per cell. Number 2: size of the total moment 0.7 μB/f.u., N(E_F) 4.1 states/eV per cell. Number 3: size of the total moment 2.0 μB/f.u., N(E_F) 14.4 states/eV per cell. Number 4: size of the total moment 0.7 μB/f.u., N(E_F) 15.4 states/eV per cell.